DFT (PBE) results for a relaxed BaP2Ir crystal.

```
8
Lattice="-3.640 3.640 3.741 3.640 -3.640 3.741 3.640 3.640 -3.741" Properties=species:S:1:pos:R:3 pbc="T T T"
Ba 0.000 0.000 0.000
Ba 0.000 3.640 1.871
P 1.820 -0.992 2.806
P 2.648 1.820 0.935
P 1.820 4.632 -0.935
P 0.992 1.820 4.676
Ir 3.640 0.000 1.871
Ir 0.000 0.000 3.741
```

## Properties
**Space-group type**: I-42d, No. 122
**Electronic total energy**: -6.09 eV per atom
**Formation energy from the elements**: -0.69 eV/atom